Entry 1:
A relaxed BaScCo crystal. Source: Alexandria via LeMat-Bulk, functional GGA-PBE.

Output
VASP energy	-15.16	eV per formula unit
DOS(E_F)	2.00	states/eV/f.u.
E above lowest polymorph	72	meV/atom
formation energy from the elements	19	kJ/mol of formula units
total magnetization	0.0000	μB per atom

Cell and atoms, written as CIF:
```
data_BaScCo
_cell_length_a 4.3113
_cell_length_b 4.3113
_cell_length_c 19.2579
_cell_angle_alpha 90.00
_cell_angle_beta 90.00
_cell_angle_gamma 90.00
_space_group_name_H-M_alt 'I 4/m m m'
_space_group_IT_number 139
_space_group_name_Hall '-I 4 2'
loop_
_atom_site_label
_atom_site_type_symbol
_atom_site_fract_x
_atom_site_fract_y
_atom_site_fract_z
Ba1 Ba 0.0000 0.0000 0.1596
Sc1 Sc 0.0000 0.5000 0.0000
Co1 Co 0.0000 0.0000 0.4230
```

---

Entry 2:
A relaxed Nd4Sm5Ag crystal. Source: Alexandria via LeMat-Bulk, functional GGA-PBE.

Output
VASP energy	-45.91	eV per formula unit
DOS(E_F)	12.97	states/eV/f.u.
formation energy from the elements	-38	kJ/mol of formula units
total magnetization	0.0000	μB per atom

Cell and atoms, written as CIF:
```
data_Nd4Sm5Ag
_cell_length_a 3.6614
_cell_length_b 3.6614
_cell_length_c 24.4973
_cell_angle_alpha 90.00
_cell_angle_beta 90.00
_cell_angle_gamma 90.00
_space_group_name_H-M_alt 'P 4/m m m'
_space_group_IT_number 123
_space_group_name_Hall '-P 4 2'
loop_
_atom_site_label
_atom_site_type_symbol
_atom_site_fract_x
_atom_site_fract_y
_atom_site_fract_z
Nd1 Nd 0.0000 0.0000 0.1054
Nd2 Nd 0.0000 0.0000 0.3157
Sm1 Sm 0.5000 0.5000 0.0000
Sm2 Sm 0.5000 0.5000 0.2113
Sm3 Sm 0.5000 0.5000 0.4218
Ag1 Ag 0.0000 0.0000 0.5000
```

---

Entry 3:
A relaxed Ba2C crystal. Source: Alexandria via LeMat-Bulk, functional GGA-PBE.

Output
VASP energy	-11.00	eV per formula unit
DOS(E_F)	2.18	states/eV/f.u.
E above lowest polymorph	555	meV/atom
formation energy from the elements	200	kJ/mol of formula units
total magnetization	0.0002	μB per atom

Cell and atoms, written as CIF:
```
data_Ba2C
_cell_length_a 6.6679
_cell_length_b 5.6547
_cell_length_c 11.3661
_cell_angle_alpha 90.00
_cell_angle_beta 90.00
_cell_angle_gamma 90.00
_space_group_name_H-M_alt 'P n m a'
_space_group_IT_number 62
loop_
_space_group_symop_operation_xyz
'x,y,z'
'-x,-y,-z'
'-x+1/2,-y,z+1/2'
'x+1/2,y,-z+1/2'
'x+1/2,-y+1/2,-z+1/2'
'-x+1/2,y+1/2,z+1/2'
'-x,y+1/2,-z'
'x,-y+1/2,z'
loop_
_atom_site_label
_atom_site_type_symbol
_atom_site_fract_x
_atom_site_fract_y
_atom_site_fract_z
Ba1 Ba 0.0111 0.2500 0.1103
Ba2 Ba 0.0313 0.2500 0.6398
C1 C 0.1142 0.2500 0.8739
```

---

Entry 4:
A relaxed Li2InCuAs crystal. Source: Alexandria via LeMat-Bulk, functional GGA-PBE.

Output
VASP energy	-14.83	eV per formula unit
DOS(E_F)	1.91	states/eV/f.u.
formation energy from the elements	47	kJ/mol of formula units
total magnetization	0.0000	μB per atom

Cell and atoms, written as CIF:
```
data_Li2InCuAs
_cell_length_a 4.5712
_cell_length_b 4.5712
_cell_length_c 4.8919
_cell_angle_alpha 90.00
_cell_angle_beta 90.00
_cell_angle_gamma 90.00
_space_group_name_H-M_alt 'P 4/m m m'
_space_group_IT_number 123
_space_group_name_Hall '-P 4 2'
loop_
_atom_site_label
_atom_site_type_symbol
_atom_site_fract_x
_atom_site_fract_y
_atom_site_fract_z
Li1 Li 0.0000 0.5000 0.0000
In1 In 0.0000 0.0000 0.5000
Cu1 Cu 0.0000 0.0000 0.0000
As1 As 0.5000 0.5000 0.5000
```